# 1
# TcTe2N SCAN single point on PBEsol structure
# N(E_F): 9.574 states/eV per cell
# Relative energy among the computed polymorphs: 0.0 meV per atom
data_TcTe2N
_chemical_formula_sum 'Tc3 Te6 N3'
_cell_length_a 3.9420
_cell_length_b 3.9420
_cell_length_c 19.6196
_cell_angle_alpha 90.00
_cell_angle_beta 90.00
_cell_angle_gamma 120.00
_space_group_name_H-M_alt 'R -3 m'
_space_group_IT_number 166
_space_group_name_Hall '-R 3 2"'
loop_
_atom_site_label
_atom_site_type_symbol
_atom_site_fract_x
_atom_site_fract_y
_atom_site_fract_z
_atom_site_occupancy
Tc1 Tc 0.0000 0.0000 0.0000 1
Te1 Te 0.0000 0.0000 0.4020 1
N1 N 0.0000 0.0000 0.5000 1

---

# 2
# B8O SCAN single point on PBEsol structure
# N(E_F): 0.000 states/eV per cell
# Relative energy among the computed polymorphs: 4.1 meV per atom
data_B8O
_chemical_formula_sum 'B96 O12'
_cell_length_a 14.708
_cell_length_b 10.560
_cell_length_c 5.118
_cell_angle_alpha 90.00
_cell_angle_beta 92.57
_cell_angle_gamma 90.00
_space_group_name_H-M_alt 'C 1 2/m 1'
_space_group_IT_number 12
_space_group_name_Hall '-C 2y'
loop_
_atom_site_label
_atom_site_type_symbol
_atom_site_fract_x
_atom_site_fract_y
_atom_site_fract_z
_atom_site_occupancy
B1 B 0.000 0.000 0.165 1
B2 B 0.001 0.500 0.835 1
B3 B 0.031 0.132 0.359 1
B4 B 0.031 0.369 0.357 1
B5 B 0.084 0.083 0.668 1
B6 B 0.086 0.417 0.661 1
B7 B 0.101 0.000 0.377 1
B8 B 0.107 0.500 0.357 1
B9 B 0.149 0.251 0.121 1
B10 B 0.166 0.332 0.830 1
B11 B 0.168 0.163 0.831 1
B12 B 0.214 0.393 0.142 1
B13 B 0.220 0.118 0.140 1
B14 B 0.249 0.254 0.335 1
O1 O 0.060 0.250 0.238 1
O2 O 0.191 0.000 0.265 1

---

# 3
# SbTeRu2 SCAN single point on PBEsol structure
# N(E_F): 5.237 states/eV per cell
# Final energy: -35.7030 eV/atom
data_SbTeRu2
_chemical_formula_sum 'Sb2 Te2 Ru4'
_cell_length_a 3.229
_cell_length_b 4.423
_cell_length_c 10.273
_cell_angle_alpha 90.00
_cell_angle_beta 90.00
_cell_angle_gamma 90.00
_space_group_name_H-M_alt 'I m m 2'
_space_group_IT_number 44
_space_group_name_Hall 'I 2 -2'
loop_
_atom_site_label
_atom_site_type_symbol
_atom_site_fract_x
_atom_site_fract_y
_atom_site_fract_z
_atom_site_occupancy
Sb1 Sb 0.000 0.000 0.000 1
Te1 Te 0.000 0.500 0.226 1
Ru1 Ru 0.000 0.000 0.520 1
Ru2 Ru 0.000 0.500 0.714 1

---

# 4
# TaMnMoP2 SCAN single point on PBEsol structure
# Calculated formation energy: 1133.0 meV per atom
# N(E_F): 2.883 states/eV per cell
data_TaMnMoP2
_chemical_formula_sum 'Ta1 Mn1 Mo1 P2'
_cell_length_a 4.679
_cell_length_b 4.679
_cell_length_c 4.589
_cell_angle_alpha 90.00
_cell_angle_beta 90.00
_cell_angle_gamma 90.00
_space_group_name_H-M_alt 'P 4/m m m'
_space_group_IT_number 123
_space_group_name_Hall '-P 4 2'
loop_
_atom_site_label
_atom_site_type_symbol
_atom_site_fract_x
_atom_site_fract_y
_atom_site_fract_z
_atom_site_occupancy
Ta1 Ta 0.000 0.000 0.000 1
Mn1 Mn 0.000 0.000 0.500 1
Mo1 Mo 0.500 0.500 0.500 1
P1 P 0.000 0.500 0.000 1